# 1
DFT (PBE) results for an optimized crystal structure of EuSnPb.

space-group type = No. 107
calculated density = 8.23 g/cm³
DOS at the Fermi energy = 2.700 states/eV/atom
crystal system = tetragonal
energy relative to the lowest polymorph listed for this composition = 11.0 kJ per mole of atoms

Unit cell a=4.540 b=4.540 c=5.674 alpha=113.58 beta=113.58 gamma=90.00
Fractional coordinates of all 3 atoms:
Pb 0.622 0.622 0.245
Eu 0.285 0.285 0.570
Sn 0.942 0.942 0.885

=====

# 2
DFT (PBE) results for an optimized crystal structure of Er5Mg2In.

space-group type = No. 140
calculated density = 7.38 g/cm³
DOS at the Fermi energy = 1.426 states/eV/atom
crystal system = tetragonal

Unit cell a=8.330 b=8.330 c=8.761 alpha=118.39 beta=118.39 gamma=90.00
Fractional coordinates of all 16 atoms:
Er 0.494 0.688 0.683
Er 0.812 0.006 0.317
Er 0.000 0.000 0.000
Er 0.500 0.500 0.000
Er 0.188 0.994 0.683
Er 0.688 0.188 0.683
Er 0.994 0.494 0.683
Er 0.312 0.812 0.317
Er 0.006 0.506 0.317
Er 0.506 0.312 0.317
Mg 0.138 0.362 0.000
Mg 0.638 0.138 0.000
Mg 0.362 0.862 0.000
Mg 0.862 0.638 0.000
In 0.750 0.750 0.500
In 0.250 0.250 0.500

=====

# 3
DFT (PBE) results for an optimized crystal structure of KZn2Pb.

space-group type = No. 12
calculated density = 4.92 g/cm³
DOS at the Fermi energy = 0.289 states/eV/atom
crystal system = monoclinic
energy relative to the lowest polymorph listed for this composition = 4.1 kJ per mole of atoms

Unit cell a=5.230 b=5.230 c=6.415 alpha=71.19 beta=71.19 gamma=50.97
Fractional coordinates of all 4 atoms:
K 0.750 0.750 0.750
Pb 0.250 0.250 0.250
Zn 0.962 0.962 0.169
Zn 0.538 0.538 0.331

=====

# 4
DFT (PBE) results for an optimized crystal structure of Nb2CuB.

space-group type = No. 122
calculated density = 7.42 g/cm³
DOS at the Fermi energy = 0.770 states/eV/atom
crystal system = tetragonal

Unit cell a=6.572 b=6.572 c=5.372 alpha=52.28 beta=52.28 gamma=90.00
Fractional coordinates of all 8 atoms:
Nb 0.592 0.125 0.250
Nb 0.158 0.625 0.250
Nb 0.375 0.408 0.750
Nb 0.875 0.842 0.750
B 0.500 0.500 0.000
B 0.250 0.750 0.500
Cu 0.000 0.000 0.000
Cu 0.750 0.250 0.500

=====

Record-wise energy of formation from the pure elements values, in meV/atom: -295, -59, 53, 261